Compound: TbNd4Mg
Source: Alexandria via LeMat-Bulk
Functional: PBE-GGA
Structure: relaxed

Summary:
Crystal system ... monoclinic
Offset from the most stable computed form ... 80 meV/atom

Cell lengths 10.5258, 13.5151, 6.5875 Å; angles 90.00, 122.18, 90.00 degrees
With the nearest neighbours (Å) after each atom.
Space group C2/c (No. 15)
Symmetry-distinct sites (fractional):
Tb: 0.0000 0.1469 0.2500 [4 per cell]  3 Mg 3.26-3.37, 6 Nd 3.39-3.54
Nd: 0.1646 0.4345 0.2314 [8 per cell]  1 Mg 3.49, 1 Tb 3.54, 9 Nd 3.54-3.81
Nd: 0.1701 0.3034 0.7247 [8 per cell]  2 Tb 3.39-3.45, 2 Mg 3.40-3.63, 6 Nd 3.40-3.77
Mg: 0.0000 0.0941 0.7500 [4 per cell]  3 Tb 3.26-3.37, 6 Nd 3.40-3.63

Compound: TbNd2Mg6
Source: Alexandria via LeMat-Bulk
Functional: PBE-GGA
Structure: relaxed

Summary:
Crystal system ... hexagonal
Total energy ... -24.6 eV/cell

Cell lengths 9.1754, 9.1754, 3.3339 Å; angles 90.00, 90.00, 120.00 degrees
With the nearest neighbours (Å) after each atom.
Space group P6/mmm (No. 191)
Symmetry-distinct sites (fractional):
Tb: 0.0000 0.0000 0.0000 [1 per cell]  2 Tb 3.33, 12 Mg 3.46
Nd: 0.3333 0.6667 0.0000 [2 per cell]  2 Nd 3.33, 12 Mg 3.49
Mg: 0.0000 0.3306 0.5000 [6 per cell]  5 Mg 3.03-3.33

One value per record, in order, for calculated density: 6.366 4.053 g/cm3.
One value per record, in order, for D(E_F): 34.06 5.74 states/eV/cell.